Record 1
Computed, not measured: an optimized crystal structure of LiTm3Ge3 at the GGA-PBE level of DFT.

Computed properties:
D(E_F)   15.3 states/eV/cell
Uncorrected energy   -0.1804 Ha/atom
Formation energy from the elements   -0.74 eV per atom

Cell lengths 10.691, 4.233, 13.724 Å; angles 90.00, 110.01, 90.00 degrees
Space group C2/m (No. 12)
One atom of each set of equivalent atoms:
Li 0.241 0.000 0.406 (multiplicity 4)
Tm 0.028 0.500 0.379 (multiplicity 4)
Tm 0.099 0.500 0.921 (multiplicity 4)
Tm 0.246 0.500 0.223 (multiplicity 4)
Ge 0.033 0.000 0.232 (multiplicity 4)
Ge 0.125 0.000 0.076 (multiplicity 4)
Ge 0.128 0.000 0.552 (multiplicity 4)

---

Record 2
Computed, not measured: an optimized crystal structure of Li3TmGe2 at the GGA-PBE level of DFT.

Computed properties:
D(E_F)   8.7 states/eV/cell
Uncorrected energy   -0.1366 Ha/atom
Formation energy from the elements   -0.48 eV per atom

Cell lengths 14.272, 4.241, 7.975 Å; angles 90.00, 116.71, 90.00 degrees
Space group C2/m (No. 12)
One atom of each set of equivalent atoms:
Li 0.044 0.000 0.372 (multiplicity 4)
Li 0.100 0.500 0.696 (multiplicity 4)
Li 0.195 0.500 0.483 (multiplicity 4)
Tm 0.148 0.000 0.050 (multiplicity 4)
Ge 0.029 0.500 0.168 (multiplicity 4)
Ge 0.200 0.000 0.725 (multiplicity 4)

---

Record 3
Computed, not measured: an optimized crystal structure of Li2Tm2Ge3 at the GGA-PBE level of DFT.

Computed properties:
D(E_F)   5.0 states/eV/cell
Uncorrected energy   -0.1632 Ha/atom
Formation energy from the elements   -0.64 eV per atom

Cell lengths 4.258, 18.135, 6.782 Å; angles 90.00, 90.00, 90.00 degrees
Space group Cmcm (No. 63)
One atom of each set of equivalent atoms:
Li 0.000 0.193 0.062 (multiplicity 8)
Tm 0.000 0.345 0.250 (multiplicity 4)
Tm 0.000 0.447 0.750 (multiplicity 4)
Ge 0.000 0.065 0.561 (multiplicity 8)
Ge 0.000 0.278 0.750 (multiplicity 4)

---

Record 4
Computed, not measured: an optimized crystal structure of Li2TmZnGe2 at the GGA-PBE level of DFT.

Computed properties:
D(E_F)   5.1 states/eV/cell
Uncorrected energy   -0.1325 Ha/atom
Formation energy from the elements   -0.47 eV per atom

Cell lengths 4.156, 7.758, 6.949 Å; angles 90.00, 90.00, 90.00 degrees
Space group Pmc2_1 (No. 26)
One atom of each set of equivalent atoms:
Li 0.000 0.071 0.000 (multiplicity 2)
Li 0.500 0.173 0.325 (multiplicity 2)
Tm 0.500 0.438 0.958 (multiplicity 2)
Zn 0.000 0.306 0.618 (multiplicity 2)
Ge 0.000 0.370 0.243 (multiplicity 2)
Ge 0.500 0.139 0.704 (multiplicity 2)

---

Record 5
Computed, not measured: an optimized crystal structure of LiTmZnGe at the GGA-PBE level of DFT.

Computed properties:
D(E_F)   4.6 states/eV/cell
Uncorrected energy   -0.1290 Ha/atom
Formation energy from the elements   -0.44 eV per atom

Cell lengths 6.712, 6.712, 6.712 Å; angles 90.00, 90.00, 90.00 degrees
Space group F-43m (No. 216)
One atom of each set of equivalent atoms:
Li 0.000 0.000 0.000 (multiplicity 4)
Tm 0.000 0.000 0.500 (multiplicity 4)
Zn 0.250 0.250 0.750 (multiplicity 4)
Ge 0.250 0.250 0.250 (multiplicity 4)

---

Record 6
Computed, not measured: an optimized crystal structure of Li2TmZn2Ge2 at the GGA-PBE level of DFT.

Computed properties:
D(E_F)   3.0 states/eV/cell
Uncorrected energy   -0.1227 Ha/atom
Formation energy from the elements   -0.47 eV per atom

Cell lengths 4.2089, 4.2089, 23.1830 Å; angles 90.00, 90.00, 120.00 degrees
Space group R-3m (No. 166, hexagonal axes)
One atom of each set of equivalent atoms:
Li 0.0000 0.0000 0.1434 (multiplicity 6)
Tm 0.0000 0.0000 0.0000 (multiplicity 3)
Zn 0.0000 0.0000 0.4375 (multiplicity 6)
Ge 0.0000 0.0000 0.2602 (multiplicity 6)

---

Question: formation energy from the elements of number 6 (Li2TmZn2Ge2)?
Answer: -0.47 eV per atom

---

Question: Among the records above, which one has the lowest uncorrected energy?
Answer: LiTm3Ge3